Compound: CeSm2Pa2Ru5
Source: the Alexandria database
Functional: GGA-PBE
Structure: optimized geometry

Energy of formation ... -30.7 kJ/mol of atoms
Uncorrected energy ... -8.392 eV/atom
Size of the total moment ... 0.00 μB/f.u.

Cell lengths 3.702, 10.662, 10.662 Å; angles 90.00, 90.00, 90.00 degrees
Positions (direct):
Ce 0.000 0.000 0.000
Ce 0.000 0.500 0.500
Sm 0.000 0.673 0.173
Sm 0.000 0.327 0.827
Sm 0.000 0.173 0.327
Sm 0.000 0.827 0.673
Pa 0.000 0.135 0.635
Pa 0.000 0.865 0.365
Pa 0.000 0.635 0.865
Pa 0.000 0.365 0.135
Ru 0.500 0.202 0.056
Ru 0.500 0.798 0.944
Ru 0.500 0.056 0.798
Ru 0.500 0.702 0.444
Ru 0.500 0.944 0.202
Ru 0.500 0.298 0.556
Ru 0.500 0.556 0.702
Ru 0.500 0.444 0.298
Ru 0.500 0.500 0.000
Ru 0.500 0.000 0.500


Compound: Tb2CePaRu2
Source: the Alexandria database
Functional: GGA-PBE
Structure: optimized geometry

Energy of formation ... -23.1 kJ/mol of atoms
Uncorrected energy ... -7.447 eV/atom
Size of the total moment ... 0.00 μB/f.u.

Cell lengths 6.965, 7.069, 8.074 Å; angles 115.96, 115.55, 90.00 degrees
Positions (direct):
Tb 0.694 0.914 0.389
Tb 0.194 0.475 0.389
Tb 0.806 0.525 0.611
Tb 0.306 0.086 0.611
Ce 0.250 0.000 0.000
Ce 0.750 0.000 0.000
Pa 0.750 0.500 0.000
Pa 0.250 0.500 0.000
Ru 0.416 0.646 0.832
Ru 0.584 0.354 0.168
Ru 0.084 0.814 0.168
Ru 0.916 0.186 0.832


Compound: CeY2PaRu2
Source: the Alexandria database
Functional: GGA-PBE
Structure: optimized geometry

Energy of formation ... -23.2 kJ/mol of atoms
Uncorrected energy ... -8.058 eV/atom
Size of the total moment ... 0.00 μB/f.u.

Cell lengths 6.966, 7.083, 8.089 Å; angles 115.96, 115.50, 90.00 degrees
Positions (direct):
Ce 0.250 0.000 0.000
Ce 0.750 0.000 0.000
Y 0.695 0.910 0.390
Y 0.195 0.480 0.390
Y 0.805 0.520 0.610
Y 0.305 0.090 0.610
Pa 0.750 0.500 0.000
Pa 0.250 0.500 0.000
Ru 0.417 0.646 0.834
Ru 0.583 0.354 0.166
Ru 0.083 0.812 0.166
Ru 0.917 0.188 0.834


Compound: CePaS2
Source: the Alexandria database
Functional: GGA-PBE
Structure: optimized geometry

Energy relative to the elements, uncorrected ... -1085 meV/atom
Uncorrected energy ... -7.006 eV/atom
Size of the total moment ... 2.73 μB/f.u.

Cell lengths 3.920, 3.920, 8.848 Å; angles 77.20, 77.20, 60.00 degrees
Last column: magnetic moment on the atom in μB.
Positions (direct):
S 0.103 0.103 0.692  -0.04
S 0.897 0.897 0.308  -0.04
Pa 0.000 0.000 0.000  1.21
Ce 0.500 0.500 0.500  0.96


Compound: CePaS2
Source: the Alexandria database
Functional: GGA-PBE
Structure: optimized geometry

Energy relative to the elements, uncorrected ... -1648 meV/atom
Uncorrected energy ... -7.570 eV/atom
Size of the total moment ... 1.23 μB/f.u.

Cell lengths 3.786, 3.786, 7.502 Å; angles 75.39, 75.39, 60.00 degrees
Last column: magnetic moment on the atom in μB.
Positions (direct):
Ce 0.671 0.671 0.988  0.53
Pa 0.496 0.496 0.512  0.49
S 0.084 0.084 0.748  -0.01
S 0.249 0.249 0.253  -0.02


Compound: Ce2PaS6
Source: the Alexandria database
Functional: GGA-PBE
Structure: optimized geometry

Energy relative to the elements, uncorrected ... -1694 meV/atom
Uncorrected energy ... -6.819 eV/atom
Size of the total moment ... 1.05 μB/f.u.

Cell lengths 6.345, 6.345, 12.668 Å; angles 90.00, 90.00, 90.00 degrees
Last column: magnetic moment on the atom in μB.
Positions (direct):
Ce 0.000 0.000 0.334  0.57
Ce 0.500 0.500 0.834  0.57
Ce 0.500 0.500 0.166  0.57
Ce 0.000 0.000 0.666  0.57
Pa 0.000 0.000 0.000  -0.02
Pa 0.500 0.500 0.500  -0.02
S 0.312 0.312 0.340  -0.01
S 0.688 0.688 0.340  -0.01
S 0.188 0.812 0.840  -0.01
S 0.812 0.188 0.840  -0.01
S 0.188 0.812 0.160  -0.01
S 0.812 0.188 0.160  -0.01
S 0.312 0.312 0.660  -0.01
S 0.688 0.688 0.660  -0.01
S 0.298 0.298 0.000  -0.02
S 0.702 0.702 0.000  -0.02
S 0.202 0.798 0.500  -0.02
S 0.798 0.202 0.500  -0.02


Compound: Ce3Pa2S8
Source: the Alexandria database
Functional: GGA-PBE
Structure: optimized geometry

Energy relative to the elements, uncorrected ... -1725 meV/atom
Uncorrected energy ... -7.096 eV/atom
Size of the total moment ... 5.44 μB/f.u.

Cell lengths 4.727, 9.477, 8.218 Å; angles 125.19, 90.00, 90.00 degrees
Last column: magnetic moment on the atom in μB.
Positions (direct):
Ce 0.500 0.000 0.000  1.05
Ce 0.000 0.277 0.000  0.90
Ce 0.000 0.723 0.000  0.90
Pa 0.500 0.261 0.522  0.96
Pa 0.500 0.739 0.478  0.96
S 0.000 0.633 0.267  -0.03
S 0.000 0.367 0.733  -0.03
S 0.000 0.125 0.250  -0.04
S 0.000 0.875 0.750  -0.04
S 0.500 0.627 0.745  -0.04
S 0.500 0.119 0.745  -0.04
S 0.500 0.881 0.255  -0.04
S 0.500 0.373 0.255  -0.04


Compound: Ce3PaS6
Source: the Alexandria database
Functional: GGA-PBE
Structure: optimized geometry

Energy relative to the elements, uncorrected ... -1515 meV/atom
Uncorrected energy ... -6.721 eV/atom
Size of the total moment ... 4.52 μB/f.u.

Cell lengths 6.693, 6.693, 7.597 Å; angles 110.03, 110.03, 102.86 degrees
Last column: magnetic moment on the atom in μB.
Positions (direct):
Ce 0.750 0.250 0.500  1.27
Ce 0.500 0.500 0.000  0.73
Ce 0.250 0.750 0.500  1.27
Pa 0.000 0.000 0.000  0.33
S 0.622 0.622 0.727  -0.03
S 0.895 0.895 0.273  -0.03
S 0.105 0.105 0.727  -0.03
S 0.378 0.378 0.273  -0.03
S 0.754 0.246 0.000  -0.02
S 0.246 0.754 0.000  -0.02


Compound: Ce4PaS10
Source: the Alexandria database
Functional: GGA-PBE
Structure: optimized geometry

Energy relative to the elements, uncorrected ... -1794 meV/atom
Uncorrected energy ... -6.761 eV/atom
Size of the total moment ... 1.34 μB/f.u.

Cell lengths 6.559, 8.028, 8.028 Å; angles 80.39, 65.89, 65.89 degrees
Last column: magnetic moment on the atom in μB.
Positions (direct):
Ce 0.401 0.798 0.400  0.39
Ce 0.801 0.600 0.798  0.39
Ce 0.199 0.400 0.202  0.39
Ce 0.599 0.202 0.600  0.39
Pa 0.000 0.000 0.000  0.01
S 0.250 0.500 0.500  -0.03
S 0.656 0.294 0.904  -0.02
S 0.049 0.096 0.294  -0.02
S 0.440 0.904 0.706  -0.02
S 0.855 0.706 0.096  -0.02
S 0.344 0.706 0.096  -0.02
S 0.750 0.500 0.500  -0.03
S 0.145 0.294 0.904  -0.02
S 0.560 0.096 0.294  -0.02
S 0.951 0.904 0.706  -0.02


Compound: CePa3S8
Source: the Alexandria database
Functional: GGA-PBE
Structure: optimized geometry

Energy relative to the elements, uncorrected ... -1622 meV/atom
Uncorrected energy ... -7.242 eV/atom
Size of the total moment ... 3.04 μB/f.u.

Cell lengths 8.109, 8.109, 8.295 Å; angles 60.74, 60.74, 60.00 degrees
Last column: magnetic moment on the atom in μB.
Positions (direct):
Ce 0.500 0.500 0.500  0.89
Pa 0.000 0.500 0.000  0.68
Pa 0.500 0.000 0.000  0.68
Pa 0.500 0.500 0.000  0.68
S 0.734 0.734 0.797  -0.03
S 0.266 0.266 0.203  -0.03
S 0.743 0.743 0.221  -0.03
S 0.743 0.293 0.221  -0.03
S 0.293 0.743 0.221  -0.03
S 0.707 0.257 0.779  -0.03
S 0.257 0.707 0.779  -0.03
S 0.257 0.257 0.779  -0.03


Compound: Ce2Pa2S7
Source: the Alexandria database
Functional: GGA-PBE
Structure: optimized geometry

Energy relative to the elements, uncorrected ... -1801 meV/atom
Uncorrected energy ... -7.233 eV/atom
Size of the total moment ... 3.38 μB/f.u.

Cell lengths 3.922, 8.543, 8.543 Å; angles 60.64, 76.73, 76.73 degrees
Last column: magnetic moment on the atom in μB.
Positions (direct):
Ce 0.000 0.782 0.218  0.77
Ce 0.500 0.330 0.670  0.81
Pa 0.742 0.847 0.669  0.78
Pa 0.258 0.331 0.153  0.78
S 0.815 0.077 0.293  -0.03
S 0.856 0.419 0.870  -0.03
S 0.500 0.012 0.988  -0.03
S 0.615 0.494 0.276  -0.03
S 0.385 0.724 0.506  -0.03
S 0.185 0.707 0.923  -0.03
S 0.144 0.130 0.581  -0.03


Compound: CePa3S4
Source: the Alexandria database
Functional: GGA-PBE
Structure: optimized geometry

Energy relative to the elements, uncorrected ... -1700 meV/atom
Uncorrected energy ... -8.067 eV/atom
Size of the total moment ... 0.99 μB/f.u.

Cell lengths 3.759, 6.888, 6.888 Å; angles 72.61, 89.98, 89.98 degrees
Last column: magnetic moment on the atom in μB.
Positions (direct):
S 0.000 0.753 0.747  -0.01
S 0.500 0.752 0.252  -0.01
S 0.000 0.247 0.253  -0.01
S 0.500 0.248 0.748  -0.01
Pa 0.500 0.000 0.500  0.18
Pa 0.000 0.000 0.000  0.16
Pa 0.000 0.500 0.500  0.16
Ce 0.500 0.500 0.000  0.35


Compound: CePaS3
Source: the Alexandria database
Functional: GGA-PBE
Structure: optimized geometry

Energy relative to the elements, uncorrected ... -1704 meV/atom
Uncorrected energy ... -7.266 eV/atom
Size of the total moment ... 2.10 μB/f.u.

Cell lengths 7.145, 7.158, 7.158 Å; angles 120.00, 90.00, 90.00 degrees
Last column: magnetic moment on the atom in μB.
Positions (direct):
Ce 0.000 0.000 0.000  0.89
Ce 0.500 0.000 0.000  0.89
Pa 0.500 0.667 0.333  1.00
Pa 0.000 0.667 0.333  1.00
S 0.750 0.343 0.248  -0.03
S 0.750 0.905 0.657  -0.03
S 0.750 0.752 0.095  -0.03
S 0.250 0.752 0.657  -0.03
S 0.250 0.343 0.095  -0.03
S 0.250 0.905 0.248  -0.03


Compound: CePaS2
Source: the Alexandria database
Functional: GGA-PBE
Structure: optimized geometry

Energy relative to the elements, uncorrected ... -1810 meV/atom
Uncorrected energy ... -7.731 eV/atom
Size of the total moment ... 0.69 μB/f.u.

Cell lengths 3.917, 3.917, 6.947 Å; angles 73.56, 73.56, 60.10 degrees
Last column: magnetic moment on the atom in μB.
Positions (direct):
Ce 0.500 0.500 0.500  0.40
Pa 0.000 0.000 0.000  0.19
S 0.748 0.748 0.757  -0.01
S 0.252 0.252 0.243  -0.01


Compound: CePaS2
Source: the Alexandria database
Functional: GGA-PBE
Structure: optimized geometry

Energy relative to the elements, uncorrected ... -1402 meV/atom
Uncorrected energy ... -7.323 eV/atom
Size of the total moment ... 2.45 μB/f.u.

Cell lengths 3.440, 3.440, 6.929 Å; angles 90.00, 90.00, 90.00 degrees
Last column: magnetic moment on the atom in μB.
Positions (direct):
S 0.000 0.000 0.762  -0.03
S 0.000 0.000 0.238  -0.03
Pa 0.500 0.500 0.000  0.92
Ce 0.500 0.500 0.500  1.09


Compound: CePaS2
Source: the Alexandria database
Functional: GGA-PBE
Structure: optimized geometry

Energy relative to the elements, uncorrected ... -1367 meV/atom
Uncorrected energy ... -7.289 eV/atom
Size of the total moment ... 2.73 μB/f.u.

Cell lengths 4.873, 4.873, 4.873 Å; angles 60.00, 60.00, 60.00 degrees
Last column: magnetic moment on the atom in μB.
Positions (direct):
S 0.250 0.250 0.250  -0.04
S 0.750 0.750 0.750  -0.04
Pa 0.000 0.000 0.000  1.27
Ce 0.500 0.500 0.500  0.99


Compound: Ce2PaS5
Source: the Alexandria database
Functional: GGA-PBE
Structure: optimized geometry

Energy relative to the elements, uncorrected ... -1907 meV/atom
Uncorrected energy ... -7.157 eV/atom
Size of the total moment ... 2.96 μB/f.u.

Cell lengths 7.470, 8.113, 11.878 Å; angles 90.00, 90.00, 90.00 degrees
Last column: magnetic moment on the atom in μB.
Positions (direct):
Ce 0.471 0.502 0.823  0.99
Ce 0.529 0.498 0.177  0.99
Ce 0.971 0.498 0.677  0.99
Ce 0.529 0.002 0.177  0.99
Ce 0.029 0.502 0.323  0.99
Ce 0.471 0.998 0.823  0.99
Ce 0.029 0.998 0.323  0.99
Ce 0.971 0.002 0.677  0.99
Pa 0.426 0.250 0.508  0.71
Pa 0.574 0.750 0.492  0.71
Pa 0.926 0.750 0.992  0.71
Pa 0.074 0.250 0.008  0.71
S 0.046 0.250 0.501  -0.03
S 0.954 0.750 0.499  -0.03
S 0.546 0.750 0.999  -0.03
S 0.454 0.250 0.001  -0.03
S 0.335 0.957 0.594  -0.03
S 0.665 0.043 0.406  -0.03
S 0.835 0.043 0.906  -0.03
S 0.665 0.457 0.406  -0.03
S 0.165 0.957 0.094  -0.03
S 0.335 0.543 0.594  -0.03
S 0.165 0.543 0.094  -0.03
S 0.835 0.457 0.906  -0.03
S 0.193 0.250 0.785  -0.03
S 0.807 0.750 0.215  -0.03
S 0.693 0.750 0.715  -0.03
S 0.307 0.250 0.285  -0.03
S 0.664 0.250 0.688  -0.03
S 0.336 0.750 0.312  -0.03
S 0.164 0.750 0.812  -0.03
S 0.836 0.250 0.188  -0.03


Compound: Ce6PaS12
Source: the Alexandria database
Functional: GGA-PBE
Structure: optimized geometry

Energy relative to the elements, uncorrected ... -1915 meV/atom
Uncorrected energy ... -6.895 eV/atom
Size of the total moment ... 5.08 μB/f.u.

Cell lengths 8.061, 8.061, 8.061 Å; angles 99.10, 99.10, 99.10 degrees
Last column: magnetic moment on the atom in μB.
Positions (direct):
Ce 0.139 0.310 0.623  0.80
Ce 0.690 0.377 0.861  0.80
Ce 0.377 0.861 0.690  0.80
Ce 0.861 0.690 0.377  0.80
Ce 0.310 0.623 0.139  0.80
Ce 0.623 0.139 0.310  0.80
Pa 0.000 0.000 0.000  0.22
S 0.431 0.177 0.584  -0.03
S 0.177 0.584 0.431  -0.03
S 0.584 0.431 0.177  -0.03
S 0.569 0.823 0.416  -0.03
S 0.823 0.416 0.569  -0.03
S 0.416 0.569 0.823  -0.03
S 0.043 0.933 0.680  -0.02
S 0.320 0.957 0.067  -0.02
S 0.067 0.320 0.957  -0.02
S 0.957 0.067 0.320  -0.02
S 0.680 0.043 0.933  -0.02
S 0.933 0.680 0.043  -0.02


Compound: CePaS3
Source: the Alexandria database
Functional: GGA-PBE
Structure: optimized geometry

Energy relative to the elements, uncorrected ... -1846 meV/atom
Uncorrected energy ... -7.408 eV/atom
Size of the total moment ... 2.37 μB/f.u.

Cell lengths 3.945, 7.422, 15.276 Å; angles 90.00, 90.00, 90.00 degrees
Last column: magnetic moment on the atom in μB.
Positions (direct):
Ce 0.750 0.890 0.794  0.91
Ce 0.250 0.110 0.206  0.91
Ce 0.750 0.390 0.706  0.91
Ce 0.250 0.610 0.294  0.91
Pa 0.250 0.257 0.958  1.07
Pa 0.250 0.757 0.542  1.07
Pa 0.750 0.243 0.458  1.07
Pa 0.750 0.743 0.042  1.07
S 0.250 0.374 0.568  -0.04
S 0.750 0.832 0.219  -0.03
S 0.750 0.493 0.899  -0.04
S 0.750 0.993 0.601  -0.04
S 0.750 0.626 0.432  -0.04
S 0.250 0.007 0.399  -0.04
S 0.250 0.874 0.932  -0.04
S 0.750 0.332 0.281  -0.03
S 0.250 0.668 0.719  -0.03
S 0.250 0.168 0.781  -0.03
S 0.750 0.126 0.068  -0.04
S 0.250 0.507 0.101  -0.04